# 1
The following is a PBE-GGA calculation of crystalline Ti6CoMo at its relaxed geometry, from Alexandria via LeMat-Bulk.

Results
DFT formation energy in eV/f.u.: -0.85
Polymorph energy (0 for the lowest one) in meV per atom: 0.0
SG: No. 139

Unit cell a=7.3631 b=7.3631 c=7.3631 alpha=145.64 beta=145.64 gamma=49.39
Atoms (fractional coordinates):
Ti (0.1118, 0.6118, 0.5000)
Ti (0.2470, 0.2470, 0.0000)
Ti (0.3882, 0.8882, 0.5000)
Ti (0.6118, 0.1118, 0.5000)
Ti (0.7530, 0.7530, 0.0000)
Ti (0.8882, 0.3882, 0.5000)
Co (0.5000, 0.5000, 0.0000)
Mo (0.0000, 0.0000, 0.0000)


# 2
The following is a PBE-GGA calculation of crystalline Ag2HI3 at its relaxed geometry, from Alexandria via LeMat-Bulk.

Results
SG: No. 2

Unit cell a=7.0349 b=7.3158 c=9.0531 alpha=92.17 beta=92.38 gamma=112.10
Atoms (fractional coordinates):
Ag (0.0753, 0.0535, 0.3513)
Ag (0.2939, 0.9287, 0.8292)
Ag (0.7061, 0.0713, 0.1708)
Ag (0.9247, 0.9465, 0.6487)
H (0.1444, 0.4278, 0.7046)
H (0.8556, 0.5722, 0.2954)
I (0.0154, 0.4614, 0.2385)
I (0.3261, 0.2278, 0.6204)
I (0.3298, 0.1345, 0.1161)
I (0.6702, 0.8655, 0.8839)
I (0.6739, 0.7722, 0.3796)
I (0.9846, 0.5386, 0.7615)


Here are the calculated raw total energy numbers, same order: -8.269 -2.413 (eV per atom).